[1]
RbNa2BO3 | Alexandria | SCAN | single point on PBEsol structure; D(E_F) = 0.0000 states/eV per atom; total magnetization = 0.00 μB per atom; final energy = -10.07 eV/atom
1.0
-5.170 -0.343 -2.024
2.004 -2.437 -4.706
-0.640 -5.477 2.563
Rb Na B O
2 4 2 6
Direct
0.896 0.500 0.500
0.104 0.000 0.000
0.368 0.500 0.769
0.368 0.500 0.231
0.632 0.000 0.731
0.632 0.000 0.269
0.790 0.500 0.000
0.210 0.000 0.500
0.658 0.289 0.000
0.342 0.211 0.500
0.039 0.500 0.000
0.961 0.000 0.500
0.342 0.789 0.500
0.658 0.711 0.000


[2]
Na5BS4O16 | Alexandria | SCAN | single point on PBEsol structure; D(E_F) = 0.0000 states/eV per atom; total magnetization = 0.00 μB per atom; final energy = -8.38 eV/atom
1.0
8.558 0.000 0.000
0.000 9.309 0.000
0.000 0.000 16.770
Na B S O
20 4 16 64
Direct
0.778 0.660 0.208
0.722 0.340 0.708
0.278 0.840 0.792
0.222 0.160 0.292
0.329 0.452 0.425
0.171 0.548 0.925
0.829 0.048 0.575
0.671 0.952 0.075
0.974 0.506 0.565
0.526 0.494 0.065
0.474 0.994 0.435
0.026 0.006 0.935
0.157 0.784 0.342
0.343 0.216 0.842
0.657 0.716 0.658
0.843 0.284 0.158
0.833 0.111 0.369
0.667 0.889 0.869
0.333 0.389 0.631
0.167 0.611 0.131
0.721 0.516 0.384
0.779 0.484 0.884
0.221 0.984 0.616
0.279 0.016 0.116
0.003 0.454 0.300
0.497 0.546 0.800
0.503 0.046 0.700
0.997 0.954 0.200
0.796 0.758 0.461
0.704 0.242 0.961
0.296 0.742 0.539
0.204 0.258 0.039
0.561 0.369 0.268
0.939 0.631 0.768
0.061 0.131 0.732
0.439 0.869 0.232
0.673 0.328 0.505
0.827 0.672 0.005
0.173 0.172 0.495
0.327 0.828 0.995
0.127 0.530 0.343
0.373 0.470 0.843
0.627 0.970 0.657
0.873 0.030 0.157
0.006 0.478 0.214
0.494 0.522 0.714
0.506 0.022 0.786
0.994 0.978 0.286
0.996 0.302 0.321
0.504 0.698 0.821
0.496 0.198 0.679
0.004 0.802 0.179
0.724 0.901 0.458
0.776 0.099 0.958
0.224 0.599 0.542
0.276 0.401 0.042
0.804 0.702 0.543
0.696 0.298 0.043
0.304 0.798 0.457
0.196 0.202 0.957
0.947 0.753 0.422
0.553 0.247 0.922
0.447 0.747 0.578
0.053 0.253 0.078
0.666 0.246 0.277
0.834 0.754 0.777
0.166 0.254 0.723
0.334 0.746 0.223
0.396 0.335 0.267
0.104 0.665 0.767
0.896 0.165 0.733
0.604 0.835 0.233
0.610 0.460 0.201
0.890 0.540 0.701
0.110 0.040 0.799
0.390 0.960 0.299
0.774 0.314 0.576
0.726 0.686 0.076
0.274 0.186 0.424
0.226 0.814 0.924
0.527 0.404 0.521
0.973 0.596 0.021
0.027 0.096 0.479
0.473 0.904 0.979
0.650 0.189 0.466
0.850 0.811 0.966
0.150 0.311 0.534
0.350 0.689 0.034
0.844 0.529 0.323
0.656 0.471 0.823
0.344 0.971 0.677
0.156 0.029 0.177
0.680 0.660 0.413
0.820 0.340 0.913
0.180 0.840 0.587
0.320 0.160 0.087
0.575 0.464 0.347
0.925 0.536 0.847
0.075 0.036 0.653
0.425 0.964 0.153
0.778 0.421 0.448
0.722 0.579 0.948
0.278 0.079 0.552
0.222 0.921 0.052


[3]
Na4B4Sb2SO16 | Alexandria | SCAN | single point on PBEsol structure; D(E_F) = 0.0000 states/eV per atom; total magnetization = 0.01 μB per atom; final energy = -10.63 eV/atom
1.0
-0.927 -0.219 9.763
9.267 -3.132 0.741
-1.906 8.460 -4.885
Na B Sb S O
8 8 4 2 32
Direct
0.544 0.456 0.500
0.957 0.457 0.500
0.707 0.707 0.000
0.294 0.706 0.000
0.956 0.044 0.500
0.543 0.043 0.500
0.293 0.293 0.000
0.706 0.294 0.000
0.914 0.739 0.831
0.333 0.657 0.669
0.261 0.086 0.169
0.907 0.083 0.169
0.343 0.667 0.331
0.989 0.664 0.331
0.917 0.093 0.831
0.336 0.011 0.669
0.125 0.375 0.250
0.125 0.875 0.250
0.625 0.875 0.750
0.125 0.875 0.750
0.500 0.500 0.000
0.750 0.250 0.500
0.761 0.733 0.706
0.567 0.442 0.883
0.941 0.742 0.982
0.209 0.510 0.518
0.258 0.059 0.018
0.488 0.684 0.701
0.558 0.433 0.117
0.316 0.441 0.883
0.983 0.787 0.299
0.760 0.959 0.018
0.306 0.777 0.794
0.559 0.684 0.117
0.267 0.239 0.294
0.027 0.056 0.294
0.037 0.733 0.799
0.316 0.512 0.299
0.934 0.238 0.201
0.213 0.017 0.701
0.223 0.694 0.206
0.983 0.511 0.206
0.691 0.066 0.383
0.944 0.973 0.706
0.490 0.791 0.482
0.267 0.963 0.201
0.934 0.309 0.617
0.692 0.317 0.383
0.762 0.066 0.799
0.992 0.691 0.482
0.041 0.240 0.982
0.309 0.008 0.518
0.683 0.308 0.617
0.489 0.017 0.794


[4]
Na6B4Sb2SO16 | Alexandria | SCAN | single point on PBEsol structure; D(E_F) = 0.1128 states/eV per atom; total magnetization = 0.00 μB per atom; final energy = -10.32 eV/atom
1.0
-7.047 0.911 -7.081
-8.575 -5.150 0.766
-8.569 4.801 2.040
Na B Sb S O
12 8 4 2 32
Direct
0.788 0.212 0.212
0.788 0.212 0.788
0.212 0.212 0.788
0.788 0.788 0.212
0.038 0.462 0.038
0.038 0.462 0.462
0.212 0.788 0.212
0.212 0.788 0.788
0.038 0.038 0.462
0.462 0.462 0.038
0.462 0.038 0.038
0.462 0.038 0.462
0.780 0.407 0.407
0.407 0.407 0.780
0.407 0.407 0.407
0.407 0.780 0.407
0.843 0.470 0.843
0.843 0.843 0.843
0.843 0.843 0.470
0.470 0.843 0.843
0.625 0.125 0.625
0.625 0.625 0.125
0.625 0.625 0.625
0.125 0.625 0.625
0.250 0.250 0.250
0.000 0.000 0.000
0.432 0.189 0.189
0.189 0.189 0.189
0.189 0.189 0.432
0.189 0.432 0.189
0.783 0.258 0.427
0.783 0.427 0.532
0.532 0.258 0.783
0.783 0.532 0.258
0.427 0.258 0.532
0.532 0.427 0.258
0.427 0.532 0.783
0.258 0.427 0.783
0.532 0.783 0.427
0.258 0.532 0.427
0.427 0.783 0.258
0.992 0.467 0.718
0.258 0.783 0.532
0.823 0.467 0.992
0.992 0.718 0.823
0.718 0.467 0.823
0.992 0.823 0.467
0.823 0.718 0.467
0.718 0.823 0.992
0.823 0.992 0.718
0.467 0.718 0.992
0.718 0.992 0.467
0.467 0.823 0.718
0.467 0.992 0.823
0.061 0.818 0.061
0.061 0.061 0.061
0.061 0.061 0.818
0.818 0.061 0.061


[5]
Na3Sc2B3O9 | Alexandria | SCAN | single point on PBEsol structure; D(E_F) = 0.0000 states/eV per atom; total magnetization = 0.00 μB per atom; final energy = -9.91 eV/atom
1.0
8.372 0.000 0.000
3.858 7.430 0.000
3.858 2.344 7.050
Na Sc B O
6 4 6 18
Direct
0.585 0.915 0.250
0.415 0.085 0.750
0.250 0.585 0.915
0.085 0.750 0.415
0.915 0.250 0.585
0.750 0.415 0.085
0.828 0.828 0.828
0.172 0.172 0.172
0.672 0.672 0.672
0.328 0.328 0.328
0.911 0.589 0.250
0.250 0.911 0.589
0.089 0.411 0.750
0.411 0.750 0.089
0.589 0.250 0.911
0.750 0.089 0.411
0.907 0.151 0.314
0.407 0.814 0.651
0.093 0.849 0.686
0.314 0.907 0.151
0.814 0.651 0.407
0.571 0.750 0.929
0.349 0.593 0.186
0.429 0.250 0.071
0.186 0.349 0.593
0.151 0.314 0.907
0.593 0.186 0.349
0.849 0.686 0.093
0.929 0.571 0.750
0.651 0.407 0.814
0.250 0.071 0.429
0.071 0.429 0.250
0.686 0.093 0.849
0.750 0.929 0.571


[6]
NaSiBO4 | Alexandria | SCAN | single point on PBEsol structure; D(E_F) = 0.0000 states/eV per atom; total magnetization = 0.00 μB per atom; final energy = -9.40 eV/atom
1.0
-5.338 -3.527 -4.323
1.558 -6.964 3.758
-5.642 4.977 2.907
Na Si B O
6 6 6 24
Direct
0.269 0.000 0.000
0.235 0.333 0.667
0.735 0.667 0.333
0.300 0.667 0.333
0.769 0.000 0.000
0.800 0.333 0.667
0.988 0.339 0.317
0.988 0.978 0.661
0.488 0.661 0.683
0.488 0.317 0.978
0.988 0.683 0.022
0.488 0.022 0.339
0.107 0.321 0.982
0.607 0.982 0.662
0.107 0.662 0.679
0.607 0.338 0.321
0.607 0.679 0.018
0.107 0.018 0.338
0.608 0.599 0.810
0.287 0.275 0.907
0.009 0.748 0.860
0.787 0.907 0.633
0.509 0.860 0.112
0.287 0.093 0.367
0.108 0.790 0.599
0.009 0.140 0.888
0.033 0.073 0.529
0.608 0.190 0.790
0.033 0.456 0.927
0.509 0.888 0.748
0.533 0.544 0.073
0.787 0.725 0.093
0.287 0.633 0.725
0.509 0.252 0.140
0.033 0.471 0.544
0.533 0.529 0.456
0.108 0.401 0.190
0.787 0.367 0.275
0.009 0.112 0.252
0.533 0.927 0.471
0.608 0.210 0.401
0.108 0.810 0.210